Nd4ZnHg | GGA-PBE | optimized geometry

a = 3.7353 Å, b = 3.7353 Å, c = 12.7847 Å
α = 90.00°, β = 90.00°, γ = 90.00°
Fractional coordinates of all 6 atoms:
Nd: 0.5000 0.5000 0.8591
Nd: 0.5000 0.5000 0.1409
Nd: 0.0000 0.0000 0.6565
Nd: 0.0000 0.0000 0.3435
Zn: 0.0000 0.0000 0.0000
Hg: 0.5000 0.5000 0.5000

Output
energy relative to the lowest polymorph listed for this composition = 0 meV/atom
volume = 178.4 Å³ per cell
DFT formation energy = -0.25 eV/atom

SmDyHo6 | GGA-PBE | optimized geometry

a = 6.0329 Å, b = 6.0329 Å, c = 9.3364 Å
α = 87.07°, β = 117.06°, γ = 112.02°
Fractional coordinates of all 8 atoms:
Sm: 0.0000 0.0000 0.0000
Dy: 0.5000 0.0000 0.5000
Ho: 0.3633 0.4565 0.3005
Ho: 0.8440 0.9372 0.3005
Ho: 0.1560 0.0628 0.6995
Ho: 0.6367 0.5435 0.6995
Ho: 0.7015 0.3729 0.0744
Ho: 0.2985 0.6271 0.9256

Output
energy relative to the lowest polymorph listed for this composition = 223 meV/atom
volume = 277.6 Å³ per cell
DFT formation energy = 0.38 eV/atom

NaZr2Ta2 | GGA-PBE | optimized geometry

a = 4.2748 Å, b = 4.2748 Å, c = 7.2336 Å
α = 72.81°, β = 72.81°, γ = 90.00°
Fractional coordinates of all 5 atoms:
Na: 0.0000 0.0000 0.0000
Zr: 0.7500 0.2500 0.5000
Zr: 0.2500 0.7500 0.5000
Ta: 0.4034 0.4034 0.1933
Ta: 0.5966 0.5966 0.8067

Output
energy relative to the lowest polymorph listed for this composition = 478 meV/atom
volume = 120.1 Å³ per cell
DFT formation energy = 1.00 eV/atom

SiBi3S6 | GGA-PBE | optimized geometry

a = 6.6605 Å, b = 8.9000 Å, c = 8.9000 Å
α = 103.31°, β = 90.00°, γ = 90.00°
Fractional coordinates of all 20 atoms:
Si: 0.0324 0.1973 0.8027
Si: 0.5324 0.8027 0.1973
Bi: 0.4699 0.9109 0.7106
Bi: 0.9699 0.7106 0.9109
Bi: 0.4052 0.3990 0.6010
Bi: 0.9052 0.6010 0.3990
Bi: 0.9699 0.0891 0.2894
Bi: 0.4699 0.2894 0.0891
S: 0.1963 0.6799 0.6394
S: 0.6963 0.6394 0.6799
S: 0.1752 0.4184 0.8962
S: 0.6752 0.8962 0.4184
S: 0.1489 0.0524 0.9476
S: 0.7162 0.2125 0.7875
S: 0.2162 0.7875 0.2125
S: 0.6489 0.9476 0.0524
S: 0.1752 0.1038 0.5816
S: 0.6752 0.5816 0.1038
S: 0.1963 0.3606 0.3201
S: 0.6963 0.3201 0.3606

Output
volume = 513.4 Å³ per cell
E_form (uncorrected) = -0.3539 eV/atom

Nd2SmDy2Mg | GGA-PBE | optimized geometry

a = 3.5950 Å, b = 11.7002 Å, c = 10.7896 Å
α = 90.00°, β = 90.00°, γ = 90.00°
Fractional coordinates of all 12 atoms:
Nd: 0.5000 0.0661 0.2484
Nd: 0.0000 0.5661 0.2516
Nd: 0.5000 0.9339 0.7516
Nd: 0.0000 0.4339 0.7484
Sm: 0.5000 0.5000 0.0000
Sm: 0.0000 0.0000 0.5000
Dy: 0.5000 0.7700 0.4193
Dy: 0.5000 0.2300 0.5807
Dy: 0.0000 0.7300 0.9193
Dy: 0.0000 0.2700 0.0807
Mg: 0.0000 0.0000 0.0000
Mg: 0.5000 0.5000 0.5000

Output
volume = 453.8 Å³ per cell
DFT formation energy = 0.47 eV/atom

LiLaMg8Cd2 | GGA-PBE | optimized geometry

a = 5.2524 Å, b = 5.2524 Å, c = 12.0803 Å
α = 101.13°, β = 101.13°, γ = 67.32°
Fractional coordinates of all 12 atoms:
Li: 0.0000 0.0000 0.0000
La: 0.0000 0.0000 0.5000
Mg: 0.7959 0.2890 0.8016
Mg: 0.6753 0.6753 0.0380
Mg: 0.7344 0.7344 0.6547
Mg: 0.2656 0.2656 0.3453
Mg: 0.3247 0.3247 0.9620
Mg: 0.2890 0.7959 0.8016
Mg: 0.7110 0.2041 0.1984
Mg: 0.2041 0.7110 0.1984
Cd: 0.6269 0.6269 0.3948
Cd: 0.3731 0.3731 0.6052

Output
volume = 299.1 Å³ per cell
DFT formation energy = -0.03 eV/atom

RbGe2AuS | GGA-PBE | optimized geometry

a = 5.8702 Å, b = 5.5100 Å, c = 5.8702 Å
α = 90.00°, β = 90.00°, γ = 90.00°
Fractional coordinates of all 5 atoms:
Ge: 0.0000 0.0000 0.5000
Ge: 0.5000 0.0000 0.0000
Au: 0.0000 0.5000 0.0000
S: 0.5000 0.5000 0.5000
Rb: 0.0000 0.0000 0.0000

Output
volume = 189.9 Å³ per cell
E_form (uncorrected) = 1.7715 eV/atom

CsNaMg | GGA-PBE | optimized geometry

a = 7.0490 Å, b = 7.4078 Å, c = 7.4092 Å
α = 61.70°, β = 60.98°, γ = 61.02°
Fractional coordinates of all 6 atoms:
Cs: 0.8785 0.3721 0.8712
Cs: 0.1215 0.6279 0.1288
Na: 0.5000 0.5000 0.5000
Na: 0.5000 0.0000 0.0000
Mg: 0.5000 0.0000 0.5000
Mg: 0.0000 0.0000 0.5000

Output
energy relative to the lowest polymorph listed for this composition = 26 meV/atom
volume = 281.1 Å³ per cell
DFT formation energy = 0.14 eV/atom

Sc6Cu5Re | GGA-PBE | optimized geometry

a = 4.6182 Å, b = 6.5212 Å, c = 7.9852 Å
α = 114.10°, β = 106.82°, γ = 90.00°
Fractional coordinates of all 12 atoms:
Sc: 0.8358 0.5893 0.6715
Sc: 0.8357 0.0822 0.6714
Sc: 0.5000 0.7559 0.0001
Sc: 0.5000 0.2441 0.9999
Sc: 0.1643 0.9178 0.3286
Sc: 0.1642 0.4107 0.3285
Re: 0.0000 0.0000 0.0000
Cu: 0.6638 0.1636 0.3271
Cu: 0.3330 0.3338 0.6664
Cu: 0.0000 0.5000 0.0000
Cu: 0.6670 0.6662 0.3336
Cu: 0.3362 0.8364 0.6729

Output
volume = 208.2 Å³ per cell
DFT formation energy = -0.25 eV/atom

CaDy14Y | GGA-PBE | optimized geometry

a = 7.2682 Å, b = 7.2682 Å, c = 11.3043 Å
α = 90.00°, β = 90.00°, γ = 120.01°
Fractional coordinates of all 16 atoms:
Ca: 0.6664 0.3336 0.0000
Dy: 0.6669 0.3331 0.5000
Dy: 0.1668 0.8332 0.5000
Dy: 0.1674 0.3347 0.0000
Dy: 0.1664 0.3330 0.5000
Dy: 0.6653 0.8326 0.0000
Dy: 0.6670 0.8336 0.5000
Dy: 0.3291 0.1648 0.7458
Dy: 0.3291 0.1648 0.2542
Dy: 0.8352 0.6709 0.7458
Dy: 0.8352 0.6709 0.2542
Dy: 0.8355 0.1645 0.7469
Dy: 0.8355 0.1645 0.2531
Dy: 0.3335 0.6665 0.7519
Dy: 0.3335 0.6665 0.2481
Y: 0.1670 0.8330 0.0000

Output
volume = 517.1 Å³ per cell
DFT formation energy = 0.03 eV/atom

TbSc2UO8 | GGA-PBE | optimized geometry

a = 4.9128 Å, b = 4.9133 Å, c = 6.8518 Å
α = 90.00°, β = 90.00°, γ = 90.22°
Fractional coordinates of all 12 atoms:
Tb: 0.0000 0.0000 0.5000
Sc: 0.5000 0.5000 0.7498
Sc: 0.5000 0.5000 0.2502
U: 0.0000 0.0000 0.0000
O: 0.1944 0.8042 0.2299
O: 0.6963 0.6976 0.0000
O: 0.8055 0.1958 0.2299
O: 0.8056 0.1958 0.7701
O: 0.3037 0.3024 0.0000
O: 0.1945 0.8042 0.7701
O: 0.6765 0.6780 0.5000
O: 0.3235 0.3220 0.5000

Output
volume = 165.4 Å³ per cell
E_form (uncorrected) = -3.1598 eV/atom

Cu2Br | GGA-PBE | optimized geometry

a = 6.5151 Å, b = 6.5151 Å, c = 8.9711 Å
α = 47.46°, β = 47.46°, γ = 34.88°
Fractional coordinates of all 6 atoms:
Cu: 0.4071 0.4071 0.7655
Cu: 0.4381 0.4381 0.4448
Cu: 0.9879 0.9879 0.5502
Cu: 0.6596 0.6596 0.3929
Br: 0.8759 0.8759 0.3467
Br: 0.7981 0.7981 0.9999

Output
energy relative to the lowest polymorph listed for this composition = 0 meV/atom
volume = 153.6 Å³ per cell
E_form (uncorrected) = -0.0015 eV/atom

no.,magnetic moment (μB per atom),mass density (g/cm3)
1,0.104,7.85
2,0.002,7.79
3,0.000,7.84
4,0.000,5.48
5,0.000,5.77
6,0.000,3.14
7,0.023,4.02
8,0.000,2.13
9,0.000,6.17
10,0.000,7.72
11,0.064,6.17
12,0.000,4.47